[1]
# TlZnI2F

A geometry-optimized TlZnI2F structure (GGA-PBE, the Alexandria database).

Computed properties:
electronic total energy = -2.709 eV/atom
calculated volume = 140 Å³/cell
formation energy without anion corrections = -0.986 eV per atom

Cell lengths 5.855, 5.855, 4.089 Å; angles 90.00, 90.00, 90.00 degrees
Space group P4/mmm (No. 123)
Unique sites:
Tl 0.000 0.000 0.000
Zn 0.500 0.500 0.500
I 0.000 0.500 0.500
F 0.500 0.500 0.000

***

[2]
# Tl2SnAs2

A geometry-optimized Tl2SnAs2 structure (GGA-PBE, the Alexandria database).

Computed properties:
formation energy from the elements = 0.1497 eV per atom
electronic total energy = -3.457 eV/atom
calculated volume = 275 Å³/cell
energy above the lowest structure with this stoichiometry = 123 meV/atom

Cell lengths 3.789, 3.789, 19.142 Å; angles 90.00, 90.00, 90.00 degrees
Space group I4/mmm (No. 139)
Unique sites:
Tl 0.000 0.000 0.110
Sn 0.000 0.000 0.500
As 0.000 0.500 0.250

***

[3]
# KTaAg2O4

A geometry-optimized KTaAg2O4 structure (GGA-PBE, the Alexandria database).

Computed properties:
electronic total energy = -6.383 eV/atom
calculated volume = 277 Å³/cell
formation energy without anion corrections = -1.572 eV per atom

Cell lengths 6.015, 6.015, 7.658 Å; angles 90.00, 90.00, 90.00 degrees
Space group I-42m (No. 121)
Unique sites:
K 0.000 0.000 0.000
Ta 0.000 0.000 0.500
Ag 0.000 0.500 0.250
O 0.181 0.181 0.641

***

[4]
# ZrBF3

A geometry-optimized ZrBF3 structure (GGA-PBE, the Alexandria database).

Computed properties:
electronic total energy = -4.796 eV/atom
calculated volume = 64 Å³/cell
energy above the lowest structure with this stoichiometry = 829 meV/atom
formation energy without anion corrections = -0.629 eV per atom

Cell lengths 3.994, 3.994, 3.994 Å; angles 90.00, 90.00, 90.00 degrees
Space group Pm-3m (No. 221)
Unique sites:
Zr 0.000 0.000 0.000
B 0.500 0.500 0.500
F 0.000 0.500 0.500

***

[5]
# Sm2U3Se8

A geometry-optimized Sm2U3Se8 structure (GGA-PBE, the Alexandria database).

Computed properties:
electronic total energy = -6.832 eV/atom
calculated volume = 796 Å³/cell
energy above the lowest structure with this stoichiometry = 0 meV/atom
formation energy without anion corrections = -1.356 eV per atom

Cell lengths 14.774, 8.205, 6.924 Å; angles 90.00, 108.45, 90.00 degrees
Space group C2/m (No. 12)
Unique sites:
Sm 0.243 0.000 0.166
U 0.000 0.243 0.500
U 0.000 0.500 0.000
Se 0.116 0.000 0.411
Se 0.118 0.500 0.418
Se 0.123 0.261 0.914

***

[6]
# SmSi2Rh

A geometry-optimized SmSi2Rh structure (GGA-PBE, the Alexandria database).

Computed properties:
electronic total energy = -6.668 eV/atom
calculated volume = 147 Å³/cell
formation energy without anion corrections = -0.938 eV per atom

Cell lengths 4.213, 4.170, 8.645 Å; angles 90.00, 104.09, 90.00 degrees
Space group P2_1/m (No. 11)
Unique sites:
Sm 0.106 0.250 0.211
Si 0.249 0.750 0.499
Si 0.462 0.250 0.924
Rh 0.322 0.250 0.643

***

Which of these has the highest calculated volume? Sm2U3Se8

***

The highest calculated volume belongs to which entry? Sm2U3Se8

***

The highest electronic total energy belongs to which entry? TlZnI2F